(1)
Computed, not measured: crystalline RbNpPd2S4 at its relaxed geometry at the PBE level of DFT.

Computed properties:
Crystal system: tetragonal
Magnetic moment: 0.429 μB/atom
Formation energy without anion corrections: -0.67 eV per atom
Total DFT energy (no corrections): -5.767 eV/atom
D(E_F): 9.29 states/eV/f.u.

Unit cell a=6.6078 b=6.6078 c=8.6889 alpha=90.00 beta=90.00 gamma=90.00
Space group I-42m (No. 121)
Unique sites:
Rb 0.0000 0.0000 0.0000 (multiplicity 2)
Np 0.0000 0.0000 0.5000 (multiplicity 2)
Pd 0.0000 0.5000 0.2500 (multiplicity 4)
S 0.2115 0.2115 0.6981 (multiplicity 8)

***

(2)
Computed, not measured: crystalline CeHPt at its relaxed geometry at the PBE level of DFT.

Computed properties:
Crystal system: orthorhombic
Magnetic moment: 0.234 μB/atom
Total DFT energy (no corrections): -5.521 eV/atom
E above lowest polymorph: 120 kJ/mol of formula units
D(E_F): 5.29 states/eV/f.u.

Unit cell a=4.4698 b=12.3830 c=8.7762 alpha=90.00 beta=90.00 gamma=90.00
Space group Pmmn (No. 59, origin choice 2)
Unique sites:
Ce 0.2500 0.0944 0.0901 (multiplicity 4)
Ce 0.2500 0.6059 0.4026 (multiplicity 4)
H 0.2500 0.2500 0.5764 (multiplicity 2)
H 0.2500 0.5163 0.8699 (multiplicity 4)
H 0.2500 0.7500 0.5818 (multiplicity 2)
Pt 0.2500 0.1375 0.4145 (multiplicity 4)
Pt 0.2500 0.6433 0.0935 (multiplicity 4)

***

(3)
Computed, not measured: crystalline AlOs2Br at its relaxed geometry at the PBE level of DFT.

Computed properties:
Crystal system: orthorhombic
Magnetic moment: 0.000 μB/atom
Formation energy without anion corrections: 0.56 eV per atom
Total DFT energy (no corrections): -6.409 eV/atom
E above lowest polymorph: 115 kJ/mol of formula units
D(E_F): 3.58 states/eV/f.u.

Unit cell a=2.9506 b=3.7016 c=6.5034 alpha=90.00 beta=90.00 gamma=90.00
Space group Pmmm (No. 47)
Unique sites:
Al 0.0000 0.0000 0.0000 (multiplicity 1)
Os 0.5000 0.5000 0.1797 (multiplicity 2)
Br 0.5000 0.0000 0.5000 (multiplicity 1)

***

(4)
Computed, not measured: crystalline Mn2FeCu at its relaxed geometry at the PBE level of DFT.

Computed properties:
Crystal system: tetragonal
Magnetic moment: 1.792 μB/atom
Total DFT energy (no corrections): -7.519 eV/atom
E above lowest polymorph: 37 kJ/mol of formula units
D(E_F): 3.92 states/eV/f.u.
ΔH_f (0 K): 205 meV/atom

Unit cell a=2.9299 b=2.9299 c=5.6848 alpha=90.00 beta=90.00 gamma=90.00
Space group P4/mmm (No. 123)
Unique sites:
Mn 0.0000 0.0000 0.2378 (multiplicity 2)
Fe 0.5000 0.5000 0.0000 (multiplicity 1)
Cu 0.5000 0.5000 0.5000 (multiplicity 1)

***

(5)
Computed, not measured: crystalline ZnTe2Au at its relaxed geometry at the PBE level of DFT.

Computed properties:
Crystal system: trigonal
Magnetic moment: 0.000 μB/atom
Formation energy without anion corrections: -0.08 eV per atom
Total DFT energy (no corrections): -2.793 eV/atom
D(E_F): 1.70 states/eV/f.u.

Unit cell a=4.0937 b=4.0937 c=19.9651 alpha=90.00 beta=90.00 gamma=120.00
Space group R-3m (No. 166, hexagonal axes)
Unique sites:
Zn 0.0000 0.0000 0.0000 (multiplicity 3)
Te 0.0000 0.0000 0.2508 (multiplicity 6)
Au 0.0000 0.0000 0.5000 (multiplicity 3)

***

(6)
Computed, not measured: crystalline TlHgCl2 at its relaxed geometry at the PBE level of DFT.

Computed properties:
Crystal system: trigonal
Magnetic moment: 0.000 μB/atom
Formation energy without anion corrections: -0.50 eV per atom
Total DFT energy (no corrections): -2.093 eV/atom
E above lowest polymorph: 49 kJ/mol of formula units
D(E_F): 5.66 states/eV/f.u.

Unit cell a=4.4920 b=4.4920 c=27.0957 alpha=90.00 beta=90.00 gamma=120.00
Space group R-3m (No. 166, hexagonal axes)
Unique sites:
Tl 0.0000 0.0000 0.0000 (multiplicity 3)
Hg 0.0000 0.0000 0.5000 (multiplicity 3)
Cl 0.0000 0.0000 0.4024 (multiplicity 6)

***

(7)
Computed, not measured: crystalline BaPmAs2O6 at its relaxed geometry at the PBE level of DFT.

Computed properties:
Crystal system: trigonal
Magnetic moment: 0.091 μB/atom
Formation energy without anion corrections: -2.05 eV per atom
Total DFT energy (no corrections): -6.622 eV/atom
D(E_F): 5.22 states/eV/f.u.

Unit cell a=5.7947 b=5.7947 c=18.4422 alpha=90.00 beta=90.00 gamma=120.00
Space group R-3 (No. 148, hexagonal axes)
Unique sites:
Ba 0.0000 0.0000 0.0000 (multiplicity 3)
Pm 0.0000 0.0000 0.5000 (multiplicity 3)
As 0.0000 0.0000 0.2747 (multiplicity 6)
O 0.0320 0.7326 0.2393 (multiplicity 18)

***

(8)
Computed, not measured: crystalline CaTcRu2 at its relaxed geometry at the PBE level of DFT.

Computed properties:
Crystal system: trigonal
Magnetic moment: 0.000 μB/atom
Total DFT energy (no corrections): -7.270 eV/atom
E above lowest polymorph: 67 kJ/mol of formula units
D(E_F): 3.76 states/eV/f.u.
ΔH_f (0 K): 460 meV/atom

Unit cell a=2.8481 b=2.8481 c=27.8359 alpha=90.00 beta=90.00 gamma=120.00
Space group R-3m (No. 166, hexagonal axes)
Unique sites:
Ca 0.0000 0.0000 0.0000 (multiplicity 3)
Tc 0.0000 0.0000 0.5000 (multiplicity 3)
Ru 0.0000 0.0000 0.2420 (multiplicity 6)

***

(9)
Computed, not measured: crystalline CsCaBr2 at its relaxed geometry at the PBE level of DFT.

Computed properties:
Crystal system: trigonal
Magnetic moment: 0.000 μB/atom
Formation energy without anion corrections: -1.45 eV per atom
Total DFT energy (no corrections): -3.004 eV/atom
E above lowest polymorph: 0 kJ/mol of formula units
D(E_F): 2.51 states/eV/f.u.

Unit cell a=4.5969 b=4.5969 c=31.4124 alpha=90.00 beta=90.00 gamma=120.00
Space group R-3m (No. 166, hexagonal axes)
Unique sites:
Cs 0.0000 0.0000 0.0000 (multiplicity 3)
Ca 0.0000 0.0000 0.5000 (multiplicity 3)
Br 0.0000 0.0000 0.1209 (multiplicity 6)

***

(10)
Computed, not measured: crystalline CaMo2Br at its relaxed geometry at the PBE level of DFT.

Computed properties:
Crystal system: orthorhombic
Magnetic moment: 0.000 μB/atom
Formation energy without anion corrections: 0.48 eV per atom
Total DFT energy (no corrections): -5.856 eV/atom
E above lowest polymorph: 180 kJ/mol of formula units
D(E_F): 4.16 states/eV/f.u.

Unit cell a=3.2454 b=4.3356 c=11.4702 alpha=90.00 beta=90.00 gamma=90.00
Space group Immm (No. 71)
Unique sites:
Ca 0.0000 0.0000 0.0000 (multiplicity 2)
Mo 0.0000 0.5000 0.2362 (multiplicity 4)
Br 0.0000 0.0000 0.5000 (multiplicity 2)

***

(11)
Computed, not measured: crystalline CaZnFe at its relaxed geometry at the PBE level of DFT.

Computed properties:
Crystal system: hexagonal
Magnetic moment: 0.704 μB/atom
Total DFT energy (no corrections): -3.672 eV/atom
D(E_F): 4.62 states/eV/f.u.
ΔH_f (0 K): 241 meV/atom

Unit cell a=4.2826 b=4.2826 c=3.9492 alpha=90.00 beta=90.00 gamma=120.00
Space group P-6m2 (No. 187)
Unique sites:
Ca 0.0000 0.0000 0.0000 (multiplicity 1)
Zn 0.3333 0.6667 0.5000 (multiplicity 1)
Fe 0.6667 0.3333 0.5000 (multiplicity 1)

***

(12)
Computed, not measured: crystalline KCa2As at its relaxed geometry at the PBE level of DFT.

Computed properties:
Crystal system: tetragonal
Magnetic moment: 0.000 μB/atom
Total DFT energy (no corrections): -2.743 eV/atom
D(E_F): 1.12 states/eV/f.u.
ΔH_f (0 K): -306 meV/atom

Unit cell a=5.0698 b=5.0698 c=4.7708 alpha=90.00 beta=90.00 gamma=90.00
Space group P4/mmm (No. 123)
Unique sites:
K 0.0000 0.0000 0.0000 (multiplicity 1)
Ca 0.0000 0.5000 0.5000 (multiplicity 2)
As 0.5000 0.5000 0.0000 (multiplicity 1)

***

(13)
Computed, not measured: crystalline Y2FeAgSn at its relaxed geometry at the PBE level of DFT.

Computed properties:
Crystal system: tetragonal
Magnetic moment: 0.438 μB/atom
Total DFT energy (no corrections): -5.286 eV/atom
D(E_F): 4.58 states/eV/f.u.
ΔH_f (0 K): 363 meV/atom

Unit cell a=5.4451 b=5.4451 c=4.7406 alpha=90.00 beta=90.00 gamma=90.00
Space group P4/mmm (No. 123)
Unique sites:
Y 0.0000 0.5000 0.0000 (multiplicity 2)
Fe 0.0000 0.0000 0.5000 (multiplicity 1)
Ag 0.0000 0.0000 0.0000 (multiplicity 1)
Sn 0.5000 0.5000 0.5000 (multiplicity 1)